# RbNiGeSe3 | OQMD via LeMat-Bulk | PBE | optimized geometry
data_RbNiGeSe3
_chemical_formula_sum 'Rb2 Ni2 Ge2 Se6'
_symmetry_space_group_name_H-M 'P 1 21/m 1'
_symmetry_Int_Tables_number 11
_cell_length_a 8.437
_cell_length_b 3.596
_cell_length_c 11.274
_cell_angle_alpha 90.00
_cell_angle_beta 108.03
_cell_angle_gamma 90.00
loop_
_symmetry_equiv_pos_as_xyz
'x,y,z'
'-x,-y,-z'
'-x,y+1/2,-z'
'x,-y+1/2,z'
loop_
_atom_site_label
_atom_site_type_symbol
_atom_site_fract_x
_atom_site_fract_y
_atom_site_fract_z
Rb1 Rb 0.033 0.250 0.257
Ni1 Ni 0.485 0.750 0.872
Ge1 Ge 0.416 0.250 0.559
Se1 Se 0.204 0.750 0.542
Se2 Se 0.325 0.250 0.912
Se3 Se 0.398 0.750 0.215
# * VASP energy: -4.085 eV per atom
# * calculated volume: 27.1 Å³/atom

# PrNdSi2 | OQMD via LeMat-Bulk | PBE | optimized geometry
data_PrNdSi2
_chemical_formula_sum 'Pr2 Nd2 Si4'
_symmetry_space_group_name_H-M 'P m c 21'
_symmetry_Int_Tables_number 26
_cell_length_a 3.957
_cell_length_b 5.950
_cell_length_c 8.290
_cell_angle_alpha 90.00
_cell_angle_beta 90.00
_cell_angle_gamma 90.00
loop_
_symmetry_equiv_pos_as_xyz
'x,y,z'
'-x,-y,z+1/2'
'-x,y,z'
'x,-y,z+1/2'
loop_
_atom_site_label
_atom_site_type_symbol
_atom_site_fract_x
_atom_site_fract_y
_atom_site_fract_z
Pr1 Pr 0.000 0.136 0.000
Nd1 Nd 0.500 0.364 0.359
Si1 Si 0.000 0.372 0.644
Si2 Si 0.500 0.130 0.714
# * VASP energy: -5.852 eV per atom
# * calculated volume: 24.4 Å³/atom
# * distance to the lowest polymorph of the same formula: 0.00 eV per formula unit

# GeSbPt | OQMD via LeMat-Bulk | PBE | optimized geometry
data_GeSbPt
_chemical_formula_sum 'Ge4 Sb4 Pt4'
_symmetry_space_group_name_H-M 'F -4 3 m'
_symmetry_Int_Tables_number 216
_symmetry_space_group_name_Hall 'F -4 2 3'
_cell_length_a 6.373
_cell_length_b 6.373
_cell_length_c 6.373
_cell_angle_alpha 90.00
_cell_angle_beta 90.00
_cell_angle_gamma 90.00
loop_
_atom_site_label
_atom_site_type_symbol
_atom_site_fract_x
_atom_site_fract_y
_atom_site_fract_z
Ge1 Ge 0.000 0.000 0.000
Sb1 Sb 0.000 0.000 0.500
Pt1 Pt 0.250 0.250 0.250
# * VASP energy: -5.214 eV per atom
# * calculated volume: 21.6 Å³/atom
# * distance to the lowest polymorph of the same formula: 0.49 eV per formula unit

# MgNi | OQMD via LeMat-Bulk | PBE | optimized geometry
data_MgNi
_chemical_formula_sum 'Mg6 Ni6'
_symmetry_space_group_name_H-M 'P m c 21'
_symmetry_Int_Tables_number 26
_cell_length_a 4.306
_cell_length_b 8.369
_cell_length_c 4.759
_cell_angle_alpha 90.00
_cell_angle_beta 90.00
_cell_angle_gamma 90.00
loop_
_symmetry_equiv_pos_as_xyz
'x,y,z'
'-x,-y,z+1/2'
'-x,y,z'
'x,-y,z+1/2'
loop_
_atom_site_label
_atom_site_type_symbol
_atom_site_fract_x
_atom_site_fract_y
_atom_site_fract_z
Mg1 Mg 0.000 0.077 0.000
Mg2 Mg 0.000 0.282 0.454
Mg3 Mg 0.500 0.258 0.833
Ni1 Ni 0.000 0.422 0.975
Ni2 Ni 0.500 0.081 0.341
Ni3 Ni 0.500 0.438 0.278
# * VASP energy: -3.601 eV per atom
# * calculated volume: 14.3 Å³/atom